[1]
Computed, not measured: a relaxed structure of Sr2BPtSe at the PBE-GGA level of DFT.

Cell lengths 5.6181, 5.6181, 3.9833 Å; angles 90.00, 90.00, 90.00 degrees
Space group P4/mmm (No. 123)
Unique sites:
Sr1 0.0000 0.5000 0.0000 (multiplicity 2)
B1 0.0000 0.0000 0.0000 (multiplicity 1)
Pt1 0.0000 0.0000 0.5000 (multiplicity 1)
Se1 0.5000 0.5000 0.5000 (multiplicity 1)

Properties
Calculated total energy: -4.787 eV per atom
E above lowest polymorph: 0 meV/atom
Size of the total moment: 0.00 μB/f.u.
Crystal system: tetragonal
Formation energy (no corrections): -0.8735 eV/atom



[2]
Computed, not measured: a relaxed structure of Hf2ReW at the PBE-GGA level of DFT.

Cell lengths 4.6668, 4.6668, 3.3077 Å; angles 90.00, 90.00, 90.00 degrees
Space group P4/mmm (No. 123)
Unique sites:
Hf1 0.0000 0.5000 0.0000 (multiplicity 2)
Re1 0.0000 0.0000 0.5000 (multiplicity 1)
W1 0.5000 0.5000 0.5000 (multiplicity 1)

Properties
Calculated total energy: -11.389 eV per atom
Size of the total moment: 0.00 μB/f.u.
Crystal system: tetragonal
ΔE_f: -0.0617 eV per atom



[3]
Computed, not measured: a relaxed structure of CaNb at the PBE-GGA level of DFT.

Cell lengths 5.7884, 16.4545, 3.2775 Å; angles 90.00, 90.00, 90.00 degrees
Space group Cmmm (No. 65)
Unique sites:
Ca1 0.0000 0.0000 0.0000 (multiplicity 2)
Ca2 0.0000 0.1920 0.5000 (multiplicity 4)
Nb1 0.0000 0.3727 0.0000 (multiplicity 4)
Nb2 0.0000 0.5000 0.5000 (multiplicity 2)

Properties
Calculated total energy: -5.527 eV per atom
E above lowest polymorph: 234 meV/atom
Size of the total moment: 0.00 μB/f.u.
Crystal system: orthorhombic
ΔE_f: 0.5090 eV per atom



[4]
Computed, not measured: a relaxed structure of KHf2MnMo at the PBE-GGA level of DFT.

Cell lengths 5.0799, 5.0799, 5.2288 Å; angles 90.00, 90.00, 90.00 degrees
Space group P4/mmm (No. 123)
Unique sites:
K1 0.0000 0.0000 0.0000 (multiplicity 1)
Hf1 0.0000 0.5000 0.5000 (multiplicity 2)
Mn1 0.5000 0.5000 0.0000 (multiplicity 1)
Mo1 0.5000 0.5000 0.5000 (multiplicity 1)

Properties
Calculated total energy: -7.218 eV per atom
Size of the total moment: 3.96 μB/f.u.
Crystal system: tetragonal
ΔE_f: 0.9835 eV per atom



[5]
Computed, not measured: a relaxed structure of CdAgIr at the PBE-GGA level of DFT.

Cell lengths 2.8931, 2.8931, 7.0799 Å; angles 90.00, 90.00, 120.00 degrees
Space group P3m1 (No. 156)
Unique sites:
Cd1 0.0000 0.0000 0.0000 (multiplicity 1)
Ag1 0.3333 0.6667 0.6535 (multiplicity 1)
Ir1 0.6667 0.3333 0.3253 (multiplicity 1)

Properties
Calculated total energy: -3.981 eV per atom
E above lowest polymorph: 0 meV/atom
Size of the total moment: 0.00 μB/f.u.
Crystal system: trigonal
ΔE_f: 0.2281 eV per atom



[6]
Computed, not measured: a relaxed structure of SrUC at the PBE-GGA level of DFT.

Cell lengths 3.5503, 3.5503, 11.5252 Å; angles 90.00, 90.00, 90.00 degrees
Space group P4/nmm (No. 129, origin choice 2)
Unique sites:
Sr1 0.2500 0.2500 0.1502 (multiplicity 2)
U1 0.2500 0.2500 0.6074 (multiplicity 2)
C1 0.2500 0.2500 0.4075 (multiplicity 2)

Properties
Calculated total energy: -7.196 eV per atom
Size of the total moment: 2.09 μB/f.u.
Crystal system: tetragonal
ΔE_f: 0.2015 eV per atom



[7]
Computed, not measured: a relaxed structure of Pr3ThSe4 at the PBE-GGA level of DFT.

Cell lengths 7.3763, 8.4848, 7.3483 Å; angles 90.00, 109.39, 90.00 degrees
Space group P2/c (No. 13)
Unique sites:
Pr1 0.0000 0.1236 0.2500 (multiplicity 2)
Pr2 0.0000 0.3735 0.7500 (multiplicity 2)
Pr3 0.5000 0.3720 0.2500 (multiplicity 2)
Th1 0.5000 0.1219 0.7500 (multiplicity 2)
Se1 0.2514 0.1242 0.9992 (multiplicity 4)
Se2 0.2527 0.3732 0.5026 (multiplicity 4)

Properties
Calculated total energy: -6.222 eV per atom
E above lowest polymorph: 3 meV/atom
Size of the total moment: 0.00 μB/f.u.
Crystal system: monoclinic
Formation energy (no corrections): -1.7595 eV/atom



[8]
Computed, not measured: a relaxed structure of Pm3GeB at the PBE-GGA level of DFT.

Cell lengths 5.0911, 5.0911, 5.0911 Å; angles 90.00, 90.00, 90.00 degrees
Space group Pm-3m (No. 221)
Unique sites:
Pm1 0.0000 0.0000 0.5000 (multiplicity 3)
Ge1 0.5000 0.5000 0.5000 (multiplicity 1)
B1 0.0000 0.0000 0.0000 (multiplicity 1)

Properties
Calculated total energy: -5.343 eV per atom
E above lowest polymorph: 26 meV/atom
Size of the total moment: 0.00 μB/f.u.
Crystal system: cubic
ΔE_f: -0.2334 eV per atom